A geometry-optimized ZnHgTe2 structure, computed with PBE.

a b c (Å): 14.196 6.066 6.066
angles (deg): 90.22 129.99 50.01
Element x y z (fractional)
Te (0.297, 0.046, 0.715)
Te (0.211, 0.665, 0.077)
Te (0.797, 0.785, 0.454)
Te (0.711, 0.423, 0.835)
Zn (0.755, 0.402, 0.347)
Zn (0.255, 0.153, 0.098)
Hg (0.255, 0.615, 0.638)
Hg (0.755, 0.862, 0.885)

Output
**Calculated density**: 7.870 g cm⁻³
**Energy**: -2.065 eV/atom
**Formation energy (no corrections)**: -0.100 eV/atom
**Magnetic moment**: 0.0 μB/f.u.
**Crystal system**: monoclinic

A geometry-optimized TbPrSmTm structure, computed with PBE.

a b c (Å): 5.728 5.728 5.728
angles (deg): 60.00 60.00 60.00
Element x y z (fractional)
Tb (0.000, 0.000, 0.000)
Tm (0.500, 0.500, 0.500)
Sm (0.250, 0.250, 0.250)
Pr (0.750, 0.750, 0.750)

Output
**Calculated density**: 7.735 g cm⁻³
**Energy**: -4.535 eV/atom
**Magnetic moment**: 0.0 μB/f.u.
**Crystal system**: cubic